# 1
The following is a GGA-PBE calculation of an optimized crystal structure of HfSiO2, from Alexandria via LeMat-Bulk.

Properties
The uncorrected formation energy is -1.61 eV/atom. The calculation puts the total DFT energy (no corrections) at -127.0 eV/cell. As for the crystal system: tetragonal. Its mass density is 5.3 g/cm³. The value obtained for the density of states at the Fermi level is 0.130 states/eV/atom.

Lattice parameters (Å, degrees): 5.588 5.588 9.665 90.00 90.00 90.00
Space group I-42d (No. 122)
Inequivalent atoms, fractional coordinates:
Hf1 0.000 0.000 0.000 [4 per cell]
Si1 0.000 0.000 0.500 [4 per cell]
O1 0.114 0.250 0.125 [8 per cell]


# 2
The following is a GGA-PBE calculation of an optimized crystal structure of SmHfSi2O8, from Alexandria via LeMat-Bulk.

Properties
The uncorrected formation energy is -2.93 eV/atom. The calculation puts the total DFT energy (no corrections) at -200.7 eV/cell. As for the crystal system: tetragonal. Its mass density is 5.9 g/cm³. The value obtained for the density of states at the Fermi level is 0.716 states/eV/atom.

Lattice parameters (Å, degrees): 6.891 6.891 6.127 90.00 90.00 90.00
Space group I-4m2 (No. 119)
Inequivalent atoms, fractional coordinates:
Sm1 0.000 0.000 0.000 [2 per cell]
Hf1 0.000 0.500 0.250 [2 per cell]
Si1 0.000 0.000 0.500 [2 per cell]
Si2 0.000 0.500 0.750 [2 per cell]
O1 0.000 0.191 0.336 [8 per cell]
O2 0.000 0.328 0.933 [8 per cell]


# 3
The following is a GGA-PBE calculation of an optimized crystal structure of SrHfSi2O8, from Alexandria via LeMat-Bulk.

Properties
The uncorrected formation energy is -2.63 eV/atom. The calculation puts the total DFT energy (no corrections) at -93.7 eV/cell. As for the crystal system: trigonal. Its mass density is 4.1 g/cm³. The value obtained for the density of states at the Fermi level is 0.661 states/eV/atom.

Lattice parameters (Å, degrees): 5.4406 5.4406 7.0647 90.00 90.00 120.00
Space group P-3m1 (No. 164)
Inequivalent atoms, fractional coordinates:
Sr1 0.0000 0.0000 0.0000 [1 per cell]
Hf1 0.0000 0.0000 0.5000 [1 per cell]
Si1 0.3333 0.6667 0.2460 [2 per cell]
O1 0.1688 0.3376 0.3151 [6 per cell]
O2 0.3333 0.6667 0.0116 [2 per cell]


# 4
The following is a GGA-PBE calculation of an optimized crystal structure of TbHfSi2O8, from Alexandria via LeMat-Bulk.

Properties
The uncorrected formation energy is -2.97 eV/atom. The calculation puts the total DFT energy (no corrections) at -201.4 eV/cell. As for the crystal system: tetragonal. Its mass density is 6.1 g/cm³. The value obtained for the density of states at the Fermi level is 0.704 states/eV/atom.

Lattice parameters (Å, degrees): 6.833 6.833 6.099 90.00 90.00 90.00
Space group I-4m2 (No. 119)
Inequivalent atoms, fractional coordinates:
Tb1 0.000 0.000 0.000 [2 per cell]
Hf1 0.000 0.500 0.250 [2 per cell]
Si1 0.000 0.000 0.500 [2 per cell]
Si2 0.000 0.500 0.750 [2 per cell]
O1 0.000 0.190 0.334 [8 per cell]
O2 0.000 0.325 0.932 [8 per cell]


# 5
The following is a GGA-PBE calculation of an optimized crystal structure of HfTi2SiO, from Alexandria via LeMat-Bulk.

Properties
The uncorrected formation energy is 0.28 eV/atom. The calculation puts the total DFT energy (no corrections) at -34.7 eV/cell. As for the crystal system: tetragonal. Its mass density is 5.2 g/cm³. The value obtained for the density of states at the Fermi level is 1.293 states/eV/atom.

Lattice parameters (Å, degrees): 5.136 5.136 3.874 90.00 90.00 90.00
Space group P4/mmm (No. 123)
Inequivalent atoms, fractional coordinates:
Hf1 0.000 0.000 0.000 [1 per cell]
Ti1 0.000 0.500 0.000 [2 per cell]
Si1 0.500 0.500 0.500 [1 per cell]
O1 0.000 0.000 0.500 [1 per cell]


# 6
The following is a GGA-PBE calculation of an optimized crystal structure of YHfSi2O8, from Alexandria via LeMat-Bulk.

Properties
The uncorrected formation energy is -2.96 eV/atom. The calculation puts the total DFT energy (no corrections) at -204.9 eV/cell. As for the crystal system: tetragonal. Its mass density is 5.3 g/cm³. The value obtained for the density of states at the Fermi level is 0.696 states/eV/atom.

Lattice parameters (Å, degrees): 6.826 6.826 6.094 90.00 90.00 90.00
Space group I-4m2 (No. 119)
Inequivalent atoms, fractional coordinates:
Y1 0.000 0.000 0.000 [2 per cell]
Hf1 0.000 0.500 0.250 [2 per cell]
Si1 0.000 0.000 0.500 [2 per cell]
Si2 0.000 0.500 0.750 [2 per cell]
O1 0.000 0.190 0.334 [8 per cell]
O2 0.000 0.324 0.932 [8 per cell]


# 7
The following is a GGA-PBE calculation of an optimized crystal structure of HfZrSi2O8, from Alexandria via LeMat-Bulk.

Properties
The uncorrected formation energy is -3.14 eV/atom. The calculation puts the total DFT energy (no corrections) at -213.4 eV/cell. As for the crystal system: tetragonal. Its mass density is 5.6 g/cm³. The value obtained for the density of states at the Fermi level is 0.000 states/eV/atom.

Lattice parameters (Å, degrees): 6.665 6.665 6.023 90.00 90.00 90.00
Space group I-4m2 (No. 119)
Inequivalent atoms, fractional coordinates:
Hf1 0.000 0.000 0.000 [2 per cell]
Zr1 0.000 0.500 0.250 [2 per cell]
Si1 0.000 0.000 0.500 [2 per cell]
Si2 0.000 0.500 0.750 [2 per cell]
O1 0.000 0.183 0.318 [8 per cell]
O2 0.000 0.315 0.929 [8 per cell]


# 8
The following is a GGA-PBE calculation of an optimized crystal structure of HfZrSiO2, from Alexandria via LeMat-Bulk.

Properties
The uncorrected formation energy is -0.05 eV/atom. The calculation puts the total DFT energy (no corrections) at -34.1 eV/cell. As for the crystal system: tetragonal. Its mass density is 7.0 g/cm³. The value obtained for the density of states at the Fermi level is 0.925 states/eV/atom.

Lattice parameters (Å, degrees): 3.870 3.870 5.256 90.00 90.00 90.00
Space group P4/mmm (No. 123)
Inequivalent atoms, fractional coordinates:
Hf1 0.000 0.000 0.000 [1 per cell]
Zr1 0.500 0.500 0.000 [1 per cell]
Si1 0.500 0.500 0.500 [1 per cell]
O1 0.000 0.500 0.500 [2 per cell]


Q: Look up the mass density of the fourth one.
A: 6.1 g/cm³